# 1
# LaLuNiAu

A relaxed structure of LaLuNiAu (PBE-GGA, the Alexandria database).

Cell and atoms, written as extended XYZ:
```
4
Lattice="-0.355 1.620 4.768 -3.685 -1.730 2.986 1.097 -3.120 3.814" Properties=species:S:1:pos:R:3 pbc="T T T"
La 0.000 0.000 0.000
Ni -0.735 -0.807 2.892
Lu -1.471 -1.615 5.784
Au -2.206 -2.422 8.676
```

Calculated formation energy in eV/atom: -0.530



# 2
# RbY2H

A relaxed structure of RbY2H (PBE-GGA, the Alexandria database).

Cell and atoms, written as extended XYZ:
```
4
Lattice="-0.570 -2.820 -2.289 2.543 -0.876 -2.506 5.115 -7.615 5.155" Properties=species:S:1:pos:R:3 pbc="T T T"
H 3.544 -5.655 0.180
Rb 0.000 0.000 0.000
Y 3.635 -6.076 -2.277
Y 3.453 -5.235 2.636
```

Total energy in eV per atom: -4.216



# 3
# MnSbP2

A relaxed structure of MnSbP2 (PBE-GGA, the Alexandria database).

Cell and atoms, written as extended XYZ:
```
4
Lattice="4.117 0.060 -0.071 2.800 3.019 -0.071 0.775 0.345 5.948" Properties=species:S:1:pos:R:3 pbc="T T T"
Mn 5.880 2.617 5.025
Sb 3.707 1.650 3.251
P 0.995 0.443 5.489
P 1.730 0.770 0.892
```

E_form (uncorrected) in eV/f.u.: -0.04



- Number 3 is which compound?
  MnSbP2



What did the second record say?
# RbY2H

A relaxed structure of RbY2H (PBE-GGA, the Alexandria database).

Cell and atoms, written as extended XYZ:
```
4
Lattice="-0.570 -2.820 -2.289 2.543 -0.876 -2.506 5.115 -7.615 5.155" Properties=species:S:1:pos:R:3 pbc="T T T"
H 3.544 -5.655 0.180
Rb 0.000 0.000 0.000
Y 3.635 -6.076 -2.277
Y 3.453 -5.235 2.636
```

Total energy in eV per atom: -4.216